Pm5Sn3: optimized geometry, PBE.

## Properties
As for the total energy: -82.1 eV for the cell shown.

The structure in extended XYZ format:
```
16
Lattice="7.475 0.000 -3.653 -1.785 7.259 -3.653 -0.121 -0.154 9.228" Properties=species:S:1:pos:R:3 pbc="T T T"
Pm 0.000 0.000 0.000
Pm 2.845 3.629 -3.653
Pm 3.735 -0.004 4.540
Pm 0.086 4.878 3.279
Pm 4.132 3.626 2.083
Pm -0.311 1.249 5.736
Pm 1.834 7.108 -2.618
Pm 5.483 2.227 -1.358
Pm 1.437 3.479 -0.161
Pm 5.880 5.856 -3.814
Sn 4.207 5.367 -0.866
Sn 1.362 1.738 2.787
Sn -0.122 4.612 -2.816
Sn 5.812 2.646 -4.490
Sn 2.484 0.983 -1.826
Sn 3.207 6.276 -5.479
```